No. 1
Below is a crystal of BaAl2Cr relaxed with PBEsol, with properties calculated at the SCAN level.

a b c (Å): 5.059 5.059 5.059
angles (deg): 60.00 60.00 60.00
Atoms (fractional coordinates):
Ba 0.000 0.000 0.000
Al 0.250 0.250 0.250
Al 0.500 0.500 0.500
Cr 0.750 0.750 0.750

Total magnetization, μB per cell: 4.99
Volume, Å³/f.u.: 92
ΔE_f, eV/atom: 0.296
Density of states at the Fermi level, states/eV per atom: 0.4614

=====

No. 2
Below is a crystal of Ba2AlCr relaxed with PBEsol, with properties calculated at the SCAN level.

a b c (Å): 4.682 6.489 6.489
angles (deg): 46.91 90.00 90.00
Atoms (fractional coordinates):
Ba 0.000 0.000 0.000
Ba 0.500 0.293 0.293
Al 0.500 0.596 0.596
Cr 0.000 0.694 0.694

Total magnetization, μB per cell: 4.47
Volume, Å³/f.u.: 144
ΔE_f, eV/atom: 0.102
Density of states at the Fermi level, states/eV per atom: 0.7705

=====

No. 3
Below is a crystal of BaAlCr2 relaxed with PBEsol, with properties calculated at the SCAN level.

a b c (Å): 3.012 4.541 6.382
angles (deg): 90.00 97.91 90.00
Atoms (fractional coordinates):
Ba 0.000 0.000 0.000
Al 0.500 0.000 0.500
Cr 0.276 0.500 0.618
Cr 0.724 0.500 0.382

Total magnetization, μB per cell: 0.00
Volume, Å³/f.u.: 86
Excess energy over the best structure of this formula in the dataset, meV/atom: 37.1
ΔE_f, eV/atom: 0.719
Density of states at the Fermi level, states/eV per atom: 0.9764

=====

No. 4
Below is a crystal of BaAlCr2 relaxed with PBEsol, with properties calculated at the SCAN level.

a b c (Å): 4.793 4.793 6.184
angles (deg): 95.64 95.64 36.85
Atoms (fractional coordinates):
Ba 0.000 0.000 0.000
Al 0.500 0.500 0.500
Cr 0.232 0.232 0.615
Cr 0.768 0.768 0.385

Total magnetization, μB per cell: 0.00
Volume, Å³/f.u.: 85
Excess energy over the best structure of this formula in the dataset, meV/atom: 0.0
ΔE_f, eV/atom: 0.682
Density of states at the Fermi level, states/eV per atom: 0.9543

=====

No. 5
Below is a crystal of BaAlCr2Ge relaxed with PBEsol, with properties calculated at the SCAN level.

a b c (Å): 4.848 4.848 5.888
angles (deg): 90.00 90.00 90.00
Atoms (fractional coordinates):
Ba 0.000 0.000 0.000
Al 0.000 0.000 0.500
Cr 0.000 0.500 0.500
Cr 0.500 0.000 0.500
Ge 0.500 0.500 0.000

Total magnetization, μB per cell: 7.00
Volume, Å³/f.u.: 138
ΔE_f, eV/atom: 0.827
Density of states at the Fermi level, states/eV per atom: 0.9463

=====

No. 6
Below is a crystal of BaAl2CrIr relaxed with PBEsol, with properties calculated at the SCAN level.

a b c (Å): 4.723 4.723 5.418
angles (deg): 90.00 90.00 90.00
Atoms (fractional coordinates):
Ba 0.000 0.000 0.000
Al 0.000 0.500 0.500
Al 0.500 0.000 0.500
Cr 0.000 0.000 0.500
Ir 0.500 0.500 0.000

Total magnetization, μB per cell: 5.01
Volume, Å³/f.u.: 121
ΔE_f, eV/atom: 1.066
Density of states at the Fermi level, states/eV per atom: 0.4053

=====

No. 7
Below is a crystal of Cs2BaAlOs relaxed with PBEsol, with properties calculated at the SCAN level.

a b c (Å): 6.823 6.823 5.709
angles (deg): 90.00 90.00 90.00
Atoms (fractional coordinates):
Cs 0.000 0.500 0.000
Cs 0.500 0.000 0.000
Ba 0.000 0.000 0.000
Al 0.000 0.000 0.500
Os 0.500 0.500 0.500

Total magnetization, μB per cell: 2.68
Volume, Å³/f.u.: 266
ΔE_f, eV/atom: 1.962
Density of states at the Fermi level, states/eV per atom: 0.7605

=====

No. 8
Below is a crystal of BaAl2Cu relaxed with PBEsol, with properties calculated at the SCAN level.

a b c (Å): 3.186 3.186 8.092
angles (deg): 90.00 90.00 90.00
Atoms (fractional coordinates):
Ba 0.000 0.000 0.000
Al 0.500 0.500 0.328
Al 0.500 0.500 0.672
Cu 0.000 0.000 0.500

Total magnetization, μB per cell: 0.00
Volume, Å³/f.u.: 82
ΔE_f, eV/atom: -0.028
Density of states at the Fermi level, states/eV per atom: 0.4213

=====

No. 9
Below is a crystal of BaAlCu2 relaxed with PBEsol, with properties calculated at the SCAN level.

a b c (Å): 3.992 6.396 6.396
angles (deg): 32.13 90.00 90.00
Atoms (fractional coordinates):
Ba 0.000 0.000 0.000
Al 0.500 0.718 0.718
Cu 0.000 0.250 0.250
Cu 0.500 0.356 0.356

Total magnetization, μB per cell: 0.00
Volume, Å³/f.u.: 87
ΔE_f, eV/atom: 0.029
Density of states at the Fermi level, states/eV per atom: 0.4667

=====

No. 10
Below is a crystal of BaAl2Cu2 relaxed with PBEsol, with properties calculated at the SCAN level.

a b c (Å): 6.560 6.560 6.560
angles (deg): 142.70 142.70 53.77
Atoms (fractional coordinates):
Ba 0.000 0.000 0.000
Al 0.250 0.750 0.500
Al 0.750 0.250 0.500
Cu 0.366 0.366 0.000
Cu 0.634 0.634 0.000

Total magnetization, μB per cell: 0.04
Volume, Å³/f.u.: 103
ΔE_f, eV/atom: -0.196
Density of states at the Fermi level, states/eV per atom: 0.5844

=====

No. 11
Below is a crystal of BaAl2Cu relaxed with PBEsol, with properties calculated at the SCAN level.

a b c (Å): 6.536 6.536 6.536
angles (deg): 38.39 38.39 38.39
Atoms (fractional coordinates):
Ba 0.000 0.000 0.000
Al 0.197 0.197 0.197
Al 0.475 0.475 0.475
Cu 0.819 0.819 0.819

Total magnetization, μB per cell: 0.01
Volume, Å³/f.u.: 97
ΔE_f, eV/atom: -0.241
Density of states at the Fermi level, states/eV per atom: 0.6916

=====

No. 12
Below is a crystal of BaAlCu relaxed with PBEsol, with properties calculated at the SCAN level.

a b c (Å): 6.520 6.520 6.520
angles (deg): 150.09 150.09 42.80
Atoms (fractional coordinates):
Ba 0.000 0.000 0.000
Al 0.719 0.719 0.000
Cu 0.293 0.293 0.000

Total magnetization, μB per cell: 0.00
Volume, Å³/f.u.: 69
ΔE_f, eV/atom: 0.016
Density of states at the Fermi level, states/eV per atom: 0.5833